1:
CeEr6Te8 | PBE-GGA | optimized geometry

Cell: 8.132 8.132 8.132 Å, 69.63 69.63 69.63°
Site moments in Bohr magnetons follow the coordinates.
Element x y z (fractional)
Ce 0.000 0.000 0.000  -1.05
Er 0.549 0.307 0.924  -0.06
Er 0.307 0.924 0.549  -0.06
Er 0.924 0.549 0.307  -0.06
Er 0.451 0.693 0.076  -0.06
Er 0.693 0.076 0.451  -0.06
Er 0.076 0.451 0.693  -0.06
Te 0.675 0.675 0.675  0.00
Te 0.325 0.325 0.325  0.00
Te 0.626 0.897 0.193  0.00
Te 0.897 0.193 0.626  0.00
Te 0.193 0.626 0.897  0.00
Te 0.374 0.103 0.807  0.00
Te 0.103 0.807 0.374  0.00
Te 0.807 0.374 0.103  0.00

Calculated values
**Fermi-level density of states**: 16.08 states/eV/f.u.
**Total magnetization**: 1.79 μB per cell

=====

2:
CeEr6Te8 | PBE-GGA | optimized geometry

Cell: 8.630 8.630 8.630 Å, 60.00 60.00 60.00°
Site moments in Bohr magnetons follow the coordinates.
Element x y z (fractional)
Ce 0.000 0.000 0.000  -1.00
Er 0.000 0.500 0.500  -0.02
Er 0.500 0.000 0.000  -0.02
Er 0.500 0.500 0.000  -0.02
Er 0.000 0.000 0.500  -0.02
Er 0.000 0.500 0.000  -0.02
Er 0.500 0.000 0.500  -0.02
Te 0.750 0.750 0.750  0.00
Te 0.250 0.250 0.250  0.00
Te 0.737 0.263 0.263  0.01
Te 0.263 0.737 0.737  0.01
Te 0.263 0.263 0.737  0.01
Te 0.737 0.737 0.263  0.01
Te 0.737 0.263 0.737  0.01
Te 0.263 0.737 0.263  0.01

Calculated values
**Fermi-level density of states**: 14.74 states/eV/f.u.
**Total magnetization**: 1.33 μB per cell

=====

Most stable of them? 2.

=====

1:
Ce2ErTe3 | PBE-GGA | optimized geometry

Cell: 6.274 8.763 7.731 Å, 106.46 113.94 90.00°
Site moments in Bohr magnetons follow the coordinates.
Element x y z (fractional)
Ce 0.671 0.585 0.342  0.98
Ce 0.671 0.085 0.342  0.98
Ce 0.329 0.915 0.658  0.98
Ce 0.329 0.415 0.658  0.98
Er 0.999 0.750 0.000  0.03
Er 0.001 0.250 0.000  0.03
Te 0.501 0.250 0.000  -0.01
Te 0.499 0.750 0.000  -0.01
Te 0.158 0.079 0.317  -0.01
Te 0.842 0.421 0.683  -0.01
Te 0.158 0.579 0.317  -0.01
Te 0.842 0.921 0.683  -0.01

Calculated values
**Fermi-level density of states**: 14.45 states/eV/f.u.
**Total magnetization**: 4.87 μB per cell

=====

2:
Ce2ErTe3 | PBE-GGA | optimized geometry

Cell: 7.642 7.724 7.652 Å, 80.48 60.05 70.66°
Site moments in Bohr magnetons follow the coordinates.
Element x y z (fractional)
Ce 0.000 0.000 0.000  0.94
Ce 0.500 0.500 0.000  0.98
Ce 0.839 0.500 0.322  0.99
Ce 0.161 0.500 0.678  0.99
Er 0.331 0.000 0.337  0.00
Er 0.669 0.000 0.663  0.00
Te 0.577 0.243 0.342  -0.01
Te 0.735 0.765 0.000  -0.01
Te 0.423 0.757 0.658  -0.01
Te 0.081 0.757 0.342  -0.01
Te 0.919 0.243 0.658  -0.01
Te 0.265 0.235 0.000  -0.01

Calculated values
**Fermi-level density of states**: 14.56 states/eV/f.u.
**Total magnetization**: 4.73 μB per cell

=====

Most stable of them? 2.

=====

1:
CeEr2Te4 | PBE-GGA | optimized geometry

Cell: 4.316 7.449 14.894 Å, 90.00 90.00 106.84°
Site moments in Bohr magnetons follow the coordinates.
Element x y z (fractional)
Ce 0.621 0.243 0.750  1.15
Ce 0.379 0.757 0.250  1.15
Er 0.132 0.264 0.434  0.02
Er 0.868 0.736 0.934  0.02
Er 0.132 0.264 0.066  0.02
Er 0.868 0.736 0.566  0.02
Te 0.774 0.547 0.120  -0.01
Te 0.774 0.547 0.380  -0.01
Te 0.226 0.453 0.880  -0.01
Te 0.226 0.453 0.620  -0.01
Te 0.955 0.909 0.750  -0.01
Te 0.045 0.091 0.250  -0.01
Te 0.500 0.000 0.000  0.00
Te 0.500 0.000 0.500  0.00

Calculated values
**Fermi-level density of states**: 8.06 states/eV/f.u.
**Total magnetization**: 2.75 μB per cell

=====

2:
CeEr2Te4 | PBE-GGA | optimized geometry

Cell: 8.450 8.450 8.450 Å, 108.29 111.86 108.29°
Site moments in Bohr magnetons follow the coordinates.
Element x y z (fractional)
Ce 0.750 0.500 0.250  1.10
Ce 0.000 0.000 0.000  1.10
Er 0.375 0.750 0.625  0.10
Er 0.375 0.250 0.625  0.10
Er 0.875 0.250 0.625  0.10
Er 0.375 0.750 0.125  0.10
Te 0.686 0.185 0.871  -0.01
Te 0.064 0.686 0.750  -0.01
Te 0.686 0.815 0.500  -0.01
Te 0.064 0.314 0.379  -0.01
Te 0.500 0.186 0.314  -0.01
Te 0.621 0.685 0.936  -0.01
Te 0.250 0.315 0.936  -0.01
Te 0.129 0.814 0.314  -0.01

Calculated values
**Fermi-level density of states**: 9.48 states/eV/f.u.
**Total magnetization**: 3.11 μB per cell

=====

Most stable of them? 1.

=====

1:
CeEr2Th | PBE-GGA | optimized geometry

Cell: 5.617 5.617 5.617 Å, 60.00 60.00 60.00°
Site moments in Bohr magnetons follow the coordinates.
Element x y z (fractional)
Ce 0.500 0.500 0.500  0.60
Th 0.000 0.000 0.000  0.02
Er 0.250 0.250 0.250  0.00
Er 0.750 0.750 0.750  0.00

Calculated values
**Fermi-level density of states**: 10.25 states/eV/f.u.
**Total magnetization**: 0.76 μB per cell

=====

2:
CeEr2Th | PBE-GGA | optimized geometry

Cell: 4.763 4.767 11.252 Å, 90.00 102.65 90.00°
Element x y z (fractional)
Ce 0.690 0.750 0.367
Ce 0.310 0.250 0.633
Er 0.562 0.250 0.119
Er 0.438 0.750 0.881
Er 0.063 0.750 0.121
Er 0.937 0.250 0.879
Th 0.189 0.250 0.367
Th 0.811 0.750 0.633

Calculated values
**Fermi-level density of states**: 8.97 states/eV/f.u.
**Total magnetization**: 0.00 μB per cell

=====

3:
CeEr2Th | PBE-GGA | optimized geometry

Cell: 3.516 3.516 10.017 Å, 90.00 90.00 90.00°
Site moments in Bohr magnetons follow the coordinates.
Element x y z (fractional)
Ce 0.500 0.500 0.500  0.77
Th 0.500 0.500 0.000  -0.01
Er 0.000 0.000 0.751  0.04
Er 0.000 0.000 0.249  0.04

Calculated values
**Fermi-level density of states**: 7.23 states/eV/f.u.
**Total magnetization**: 0.99 μB per cell

=====

Most stable of them? 3.

=====

1:
CeEr2Th | PBE-GGA | optimized geometry

Cell: 3.434 3.434 12.346 Å, 82.00 82.00 60.00°
Site moments in Bohr magnetons follow the coordinates.
Element x y z (fractional)
Ce 0.000 0.000 0.000  0.70
Th 0.500 0.500 0.500  -0.01
Er 0.090 0.090 0.730  -0.01
Er 0.910 0.910 0.270  -0.01

Calculated values
**Fermi-level density of states**: 7.88 states/eV/f.u.
**Total magnetization**: 0.81 μB per cell

=====

2:
CeEr2Th | PBE-GGA | optimized geometry

Cell: 3.526 3.526 11.341 Å, 89.99 90.00 60.00°
Element x y z (fractional)
Ce 0.378 0.999 0.777
Er 0.044 0.666 0.530
Er 0.378 0.999 0.280
Th 0.711 0.332 0.024

Calculated values
**Fermi-level density of states**: 7.31 states/eV/f.u.
**Total magnetization**: 0.02 μB per cell

=====

3:
CeEr2Th | PBE-GGA | optimized geometry

Cell: 3.510 3.510 11.688 Å, 81.37 81.37 60.00°
Site moments in Bohr magnetons follow the coordinates.
Element x y z (fractional)
Ce 0.666 0.666 0.001  0.53
Er 0.082 0.082 0.755  -0.01
Er 0.252 0.252 0.245  0.01
Th 0.500 0.500 0.499  -0.01

Calculated values
**Fermi-level density of states**: 8.30 states/eV/f.u.
**Total magnetization**: 0.62 μB per cell

=====

Most stable of them? 2.

=====

1:
CeErTh6 | PBE-GGA | optimized geometry

Cell: 5.978 8.236 8.236 Å, 42.57 68.72 68.72°
Element x y z (fractional)
Ce 0.000 0.000 0.000
Er 0.500 0.500 0.500
Th 0.245 0.755 0.756
Th 0.375 0.124 0.125
Th 0.875 0.625 0.625
Th 0.625 0.876 0.875
Th 0.755 0.245 0.244
Th 0.125 0.375 0.375

Calculated values
**Fermi-level density of states**: 15.57 states/eV/f.u.
**Total magnetization**: 0.02 μB per cell

=====

2:
CeErTh6 | PBE-GGA | optimized geometry

Cell: 5.006 5.006 10.034 Å, 90.00 90.00 90.00°
Element x y z (fractional)
Ce 0.000 0.000 0.500
Er 0.000 0.000 0.000
Th 0.500 0.500 0.000
Th 0.500 0.500 0.500
Th 0.500 0.000 0.253
Th 0.500 0.000 0.747
Th 0.000 0.500 0.253
Th 0.000 0.500 0.747

Calculated values
**Fermi-level density of states**: 14.44 states/eV/f.u.
**Total magnetization**: 0.00 μB per cell

=====

Most stable of them? 2.

=====

1:
CeEr2Th2 | PBE-GGA | optimized geometry

Cell: 4.483 4.483 8.911 Å, 104.57 104.57 90.00°
Site moments in Bohr magnetons follow the coordinates.
Element x y z (fractional)
Ce 0.000 0.000 0.000  0.54
Er 0.750 0.250 0.500  -0.03
Er 0.250 0.750 0.500  -0.03
Th 0.407 0.407 0.814  0.02
Th 0.593 0.593 0.186  0.02

Calculated values
**Fermi-level density of states**: 11.36 states/eV/f.u.
**Total magnetization**: 0.64 μB per cell

=====

2:
CeEr2Th2 | PBE-GGA | optimized geometry

Cell: 6.075 10.510 9.347 Å, 133.93 70.98 131.99°
Site moments in Bohr magnetons follow the coordinates.
Element x y z (fractional)
Ce 0.038 0.744 0.646  0.27
Ce 0.962 0.256 0.354  0.27
Er 0.752 0.246 0.745  0.01
Er 0.550 0.249 0.147  0.01
Er 0.450 0.751 0.853  0.01
Er 0.248 0.754 0.255  0.01
Th 0.845 0.752 0.054  0.01
Th 0.643 0.747 0.453  0.01
Th 0.155 0.248 0.946  0.01
Th 0.357 0.253 0.547  0.01

Calculated values
**Fermi-level density of states**: 9.57 states/eV/f.u.
**Total magnetization**: 0.73 μB per cell

=====

Most stable of them? 2.

=====

1:
CeErTh3 | PBE-GGA | optimized geometry

Cell: 3.538 3.538 28.722 Å, 90.00 90.00 120.00°
Element x y z (fractional)
Ce 0.333 0.667 0.724
Ce 0.667 0.333 0.224
Er 0.000 0.000 0.027
Er 0.000 0.000 0.527
Th 0.000 0.000 0.323
Th 0.000 0.000 0.823
Th 0.333 0.667 0.127
Th 0.667 0.333 0.627
Th 0.667 0.333 0.924
Th 0.333 0.667 0.424

Calculated values
**Fermi-level density of states**: 8.76 states/eV/f.u.
**Total magnetization**: 0.00 μB per cell

=====

2:
CeErTh3 | PBE-GGA | optimized geometry

Cell: 5.529 8.498 6.750 Å, 90.01 90.01 90.00°
Element x y z (fractional)
Ce 0.750 0.250 0.002
Ce 0.250 0.750 0.998
Er 0.750 0.250 0.454
Er 0.250 0.750 0.546
Th 0.250 0.450 0.233
Th 0.750 0.550 0.767
Th 0.250 0.050 0.233
Th 0.750 0.950 0.767
Th 0.250 0.250 0.747
Th 0.750 0.750 0.253

Calculated values
**Fermi-level density of states**: 10.02 states/eV/f.u.
**Total magnetization**: 0.00 μB per cell

=====

Most stable of them? 1.

=====

1:
Ce2ErTl4 | PBE-GGA | optimized geometry

Cell: 6.607 6.607 6.607 Å, 106.40 111.03 111.03°
Site moments in Bohr magnetons follow the coordinates.
Element x y z (fractional)
Tl 0.500 0.000 0.000  0.02
Tl 0.500 0.500 0.500  0.02
Tl 0.000 0.000 0.500  0.02
Tl 0.000 0.500 0.000  0.02
Ce 0.500 0.500 0.000  0.91
Ce 0.500 0.000 0.500  0.91
Er 0.000 0.000 0.000  0.16

Calculated values
**Fermi-level density of states**: 18.08 states/eV/f.u.
**Total magnetization**: 2.61 μB per cell

=====

2:
Ce2ErTl4 | PBE-GGA | optimized geometry

Cell: 5.057 6.460 7.634 Å, 115.03 90.00 90.00°
Site moments in Bohr magnetons follow the coordinates.
Element x y z (fractional)
Ce 0.500 0.101 0.203  1.06
Ce 0.500 0.899 0.797  1.06
Er 0.000 0.500 0.000  -0.02
Tl 0.500 0.628 0.256  0.01
Tl 0.000 0.754 0.508  0.00
Tl 0.500 0.372 0.744  0.01
Tl 0.000 0.246 0.492  0.00

Calculated values
**Fermi-level density of states**: 13.15 states/eV/f.u.
**Total magnetization**: 2.54 μB per cell

=====

Most stable of them? 1.

=====

1:
CeEr6Tm | PBE-GGA | optimized geometry

Cell: 6.332 6.332 11.482 Å, 124.99 124.99 93.24°
Site moments in Bohr magnetons follow the coordinates.
Element x y z (fractional)
Ce 0.500 0.500 0.500  0.77
Er 0.350 0.350 0.698  0.03
Er 0.693 0.054 0.207  0.05
Er 0.650 0.650 0.302  0.03
Er 0.946 0.307 0.793  0.05
Er 0.307 0.946 0.793  0.05
Er 0.054 0.693 0.207  0.05
Tm 0.000 0.000 0.000  0.09

Calculated values
**Fermi-level density of states**: 16.83 states/eV/f.u.
**Total magnetization**: 1.39 μB per cell

=====

2:
CeEr6Tm | PBE-GGA | optimized geometry

Cell: 6.696 6.433 6.804 Å, 102.38 61.00 89.59°
Site moments in Bohr magnetons follow the coordinates.
Element x y z (fractional)
Ce 0.000 0.500 0.000  0.80
Er 0.096 0.731 0.480  0.08
Er 0.572 0.768 0.522  0.06
Er 0.428 0.232 0.478  0.06
Er 0.904 0.269 0.520  0.08
Er 0.552 0.750 0.001  0.08
Er 0.448 0.250 0.999  0.08
Tm 0.000 0.000 0.000  0.10

Calculated values
**Fermi-level density of states**: 16.50 states/eV/f.u.
**Total magnetization**: 1.68 μB per cell

=====

Most stable of them? 1.